Entry 1:
Compound: BeTc2HgSb
Source: Alexandria via LeMat-Bulk
Functional: GGA-PBE
Structure: relaxed

a b c (Å): 5.1511 5.1511 4.2426
angles (deg): 90.00 90.00 90.00
Space group P4/mmm (No. 123)
Asymmetric unit:
Be: 0.0000 0.0000 0.0000 (multiplicity 1)
Tc: 0.0000 0.5000 0.5000 (multiplicity 2)
Hg: 0.0000 0.0000 0.5000 (multiplicity 1)
Sb: 0.5000 0.5000 0.0000 (multiplicity 1)

Summary:
Magnetic moment = 5.40 μB per formula unit
Uncorrected energy = -4.147 eV per atom
Formation energy without anion corrections = 1.630 eV/atom

Entry 2:
Compound: TbPrYTm2
Source: Alexandria via LeMat-Bulk
Functional: GGA-PBE
Structure: relaxed

a b c (Å): 8.3557 11.4955 7.1959
angles (deg): 90.00 90.00 90.00
Space group Cmcm (No. 63)
Asymmetric unit:
Tb: 0.0000 0.0096 0.2500 (multiplicity 4)
Pr: 0.0000 0.2777 0.2500 (multiplicity 4)
Y: 0.0000 0.2729 0.7500 (multiplicity 4)
Tm: 0.1887 0.5000 0.0000 (multiplicity 8)

Summary:
ΔE_f = 369 meV per atom
Magnetic moment = 0.00 μB per formula unit
Uncorrected energy = -4.595 eV per atom